(1)
VASP calculation (GGA-PBE) on crystalline TaTi2Rh at its relaxed geometry.

Cell: 7.144 7.144 5.739 Å, 51.51 51.51 90.00°
Sites, in units of the cell vectors:
Ti 0.156 0.625 0.250
Ti 0.594 0.125 0.250
Ti 0.375 0.406 0.750
Ti 0.875 0.844 0.750
Ta 0.000 0.000 0.000
Ta 0.750 0.250 0.500
Rh 0.250 0.750 0.500
Rh 0.500 0.500 0.000

Properties
Total energy (eV/atom): -8.685
Density (Mg/m³): 9.07
Symmetry: I-42d, No. 122
E above lowest polymorph (kJ/mol of atoms): 48.1

(2)
VASP calculation (GGA-PBE) on crystalline TaTi2Rh2 at its relaxed geometry.

Cell: 7.449 7.449 2.862 Å, 90.00 90.00 90.00°
Sites, in units of the cell vectors:
Ti 0.350 0.850 0.000
Ti 0.150 0.350 0.000
Ti 0.650 0.150 0.000
Ti 0.850 0.650 0.000
Ta 0.000 0.000 0.000
Ta 0.500 0.500 0.000
Rh 0.349 0.151 0.500
Rh 0.151 0.651 0.500
Rh 0.849 0.349 0.500
Rh 0.651 0.849 0.500

Properties
Total energy (eV/atom): -8.880
Density (Mg/m³): 10.09
Symmetry: P4/mbm, No. 127
E above lowest polymorph (kJ/mol of atoms): 3.5

(3)
VASP calculation (GGA-PBE) on crystalline TaTi3Rh2 at its relaxed geometry.

Cell: 3.139 3.139 9.621 Å, 90.00 90.00 90.00°
Sites, in units of the cell vectors:
Rh 0.500 0.500 0.155
Rh 0.500 0.500 0.845
Ta 0.500 0.500 0.500
Ti 0.000 0.000 0.322
Ti 0.000 0.000 0.000
Ti 0.000 0.000 0.678

Properties
Total energy (eV/atom): -8.918
Density (Mg/m³): 9.29
Symmetry: P4/mmm, No. 123

(4)
VASP calculation (GGA-PBE) on crystalline TaTi2Rh at its relaxed geometry.

Cell: 3.085 4.560 4.560 Å, 90.00 90.00 90.00°
Sites, in units of the cell vectors:
Ti 0.000 0.500 0.000
Ti 0.000 0.000 0.500
Ta 0.500 0.000 0.000
Rh 0.500 0.500 0.500

Properties
Total energy (eV/atom): -9.111
Density (Mg/m³): 9.83
Symmetry: P4/mmm, No. 123
E above lowest polymorph (kJ/mol of atoms): 6.9

(5)
VASP calculation (GGA-PBE) on crystalline TaTiVRh at its relaxed geometry.

Cell: 3.119 3.119 6.344 Å, 90.00 90.00 90.00°
Sites, in units of the cell vectors:
Ta 0.000 0.000 0.349
V 0.500 0.500 0.103
Rh 0.500 0.500 0.611
Ti 0.000 0.000 0.864

Properties
Total energy (eV/atom): -9.445
Density (Mg/m³): 10.30
Symmetry: P4mm, No. 99

(6)
VASP calculation (GGA-PBE) on crystalline TaTiRhW at its relaxed geometry.

Cell: 3.194 3.194 6.317 Å, 90.00 90.00 90.00°
Sites, in units of the cell vectors:
Ta 0.000 0.000 0.860
Rh 0.500 0.500 0.604
W 0.500 0.500 0.110
Ti 0.000 0.000 0.354

Properties
Total energy (eV/atom): -10.400
Density (Mg/m³): 13.28
Symmetry: P4mm, No. 99
E above lowest polymorph (kJ/mol of atoms): 0.0

(7)
VASP calculation (GGA-PBE) on crystalline TaTiRhW at its relaxed geometry.

Cell: 4.492 4.492 4.492 Å, 60.00 60.00 60.00°
Sites, in units of the cell vectors:
Ti 0.250 0.250 0.250
W 0.500 0.500 0.500
Ta 0.750 0.750 0.750
Rh 0.000 0.000 0.000

Properties
Total energy (eV/atom): -10.380
Density (Mg/m³): 13.36
Symmetry: F-43m, No. 216
E above lowest polymorph (kJ/mol of atoms): 1.9

(8)
VASP calculation (GGA-PBE) on crystalline ZrTa2TiRh at its relaxed geometry.

Cell: 4.819 4.937 4.819 Å, 90.00 90.00 90.00°
Sites, in units of the cell vectors:
Ta 0.000 0.000 0.500
Ta 0.500 0.000 0.000
Zr 0.000 0.500 0.000
Ti 0.500 0.500 0.500
Rh 0.000 0.000 0.000

Properties
Total energy (eV/atom): -8.610
Density (Mg/m³): 8.75
Symmetry: P4/mmm, No. 123

Which formula does entry 2 have? TaTi2Rh2